Entry 1:
Material: SrLaZr2
Method: DFT, GGA-PBE
State: optimized geometry

Calculated values
- Volume: 246 Å³/cell
- ΔE to the lowest computed polymorph: 0.215 eV per atom
- Formation enthalpy at 0 K: 452 meV/atom
- Total DFT energy (no corrections): -43.8 eV per cell

Structure (CIF):
```
data_SrLaZr2
_cell_length_a 4.6399
_cell_length_b 5.3878
_cell_length_c 9.8236
_cell_angle_alpha 90.00
_cell_angle_beta 90.00
_cell_angle_gamma 90.00
_symmetry_space_group_name_H-M 'I m m 2'
_symmetry_Int_Tables_number 44
loop_
_symmetry_equiv_pos_as_xyz
'x,y,z'
'-x,-y,z'
'-x,y,z'
'x,-y,z'
'x+1/2,y+1/2,z+1/2'
'-x+1/2,-y+1/2,z+1/2'
'-x+1/2,y+1/2,z+1/2'
'x+1/2,-y+1/2,z+1/2'
loop_
_atom_site_label
_atom_site_fract_x
_atom_site_fract_y
_atom_site_fract_z
_atom_site_occupancy
Sr1 0.0000 0.0000 0.0000 1
La1 0.0000 0.5000 0.2295 1
Zr1 0.0000 0.0000 0.4627 1
Zr2 0.0000 0.5000 0.7616 1
```

=====

Entry 2:
Material: PrNd2S
Method: DFT, GGA-PBE
State: optimized geometry

Calculated values
- Volume: 376 Å³/cell
- ΔE to the lowest computed polymorph: 0.005 eV per atom
- Total DFT energy (no corrections): -66.2 eV per cell
- Formation energy without anion corrections: -3.64 eV/f.u.

Structure (CIF):
```
data_PrNd2S
_cell_length_a 3.8636
_cell_length_b 3.8636
_cell_length_c 29.0623
_cell_angle_alpha 90.00
_cell_angle_beta 90.00
_cell_angle_gamma 120.00
_symmetry_space_group_name_H-M 'R -3 m'
_symmetry_Int_Tables_number 166
_symmetry_space_group_name_Hall '-R 3 2"'
loop_
_atom_site_label
_atom_site_fract_x
_atom_site_fract_y
_atom_site_fract_z
_atom_site_occupancy
Pr1 0.0000 0.0000 0.0000 1
Nd1 0.0000 0.0000 0.2278 1
S1 0.0000 0.0000 0.5000 1
```

=====

Entry 3:
Material: ReAs2Ru
Method: DFT, GGA-PBE
State: optimized geometry

Calculated values
- Volume: 63 Å³/cell
- ΔE to the lowest computed polymorph: 0.485 eV per atom
- Formation enthalpy at 0 K: 509 meV/atom
- Total DFT energy (no corrections): -29.0 eV per cell

Structure (CIF):
```
data_ReAs2Ru
_cell_length_a 2.9836
_cell_length_b 4.0349
_cell_length_c 5.2360
_cell_angle_alpha 90.00
_cell_angle_beta 90.24
_cell_angle_gamma 90.00
_symmetry_space_group_name_H-M 'P 1 2/m 1'
_symmetry_Int_Tables_number 10
loop_
_symmetry_equiv_pos_as_xyz
'x,y,z'
'-x,-y,-z'
'-x,y,-z'
'x,-y,z'
loop_
_atom_site_label
_atom_site_fract_x
_atom_site_fract_y
_atom_site_fract_z
_atom_site_occupancy
Re1 0.0000 0.0000 0.0000 1
As1 0.3127 0.5000 0.7615 1
Ru1 0.5000 0.0000 0.5000 1
```

=====

Entry 4:
Material: Pm8C3Se4S
Method: DFT, GGA-PBE
State: optimized geometry

Calculated values
- Volume: 1102 Å³/cell
- Total DFT energy (no corrections): -313.6 eV per cell
- Formation energy without anion corrections: -20.78 eV/f.u.

Structure (CIF):
```
data_Pm8C3Se4S
_cell_length_a 7.9115
_cell_length_b 7.9115
_cell_length_c 20.3257
_cell_angle_alpha 90.00
_cell_angle_beta 90.00
_cell_angle_gamma 120.00
_symmetry_space_group_name_H-M 'R -3 m'
_symmetry_Int_Tables_number 166
_symmetry_space_group_name_Hall '-R 3 2"'
loop_
_atom_site_label
_atom_site_fract_x
_atom_site_fract_y
_atom_site_fract_z
_atom_site_occupancy
Pm1 0.0000 0.0000 0.2364 1
Pm2 0.0179 0.5090 0.7623 1
C1 0.0000 0.5000 0.5000 1
Se1 0.0000 0.0000 0.0000 1
Se2 0.0000 0.5000 0.0000 1
S1 0.0000 0.0000 0.5000 1
```

=====

| no. | ρ (g cm⁻³) |
| --- | --- |
| 1 | 5.531 |
| 2 | 6.119 |
| 3 | 11.516 |
| 4 | 6.981 |